A plane-wave DFT calculation with PBE was carried out for a relaxed ZrPb2O crystal.

Structure (CIF):
```
data_ZrPb2O
_chemical_formula_sum 'Zr4 Pb8 O4'
_symmetry_space_group_name_H-M 'I -4 2 d'
_symmetry_Int_Tables_number 122
_symmetry_space_group_name_Hall 'I -4 2bw'
_cell_length_a 7.419
_cell_length_b 7.419
_cell_length_c 6.342
_cell_angle_alpha 90.00
_cell_angle_beta 90.00
_cell_angle_gamma 90.00
loop_
_atom_site_label
_atom_site_type_symbol
_atom_site_fract_x
_atom_site_fract_y
_atom_site_fract_z
Zr1 Zr 0.000 0.000 0.000
Pb1 Pb 0.180 0.250 0.625
O1 O 0.000 0.000 0.500
```

Computed properties:
uncorrected formation energy = -0.0786 eV/atom
total energy = -84.95 eV for the cell shown
density of states at the Fermi level = 3.53 states/eV/f.u.